Entry from the Alexandria database: crystalline PmUVO6 at its relaxed geometry (PBE with a Hubbard U).

Computed properties:
- Energy: -155.4 eV per cell

a = 5.716 Å, b = 5.716 Å, c = 8.725 Å
α = 90.00°, β = 90.00°, γ = 120.00°
Element x y z (fractional)
1 Pm 0.333 0.667 0.250
2 Pm 0.667 0.333 0.750
3 U 0.333 0.667 0.750
4 U 0.667 0.333 0.250
5 V 0.000 0.000 0.000
6 V 0.000 0.000 0.500
7 O 0.036 0.339 0.624
8 O 0.036 0.697 0.876
9 O 0.303 0.339 0.876
10 O 0.303 0.964 0.624
11 O 0.339 0.036 0.124
12 O 0.339 0.303 0.376
13 O 0.661 0.697 0.624
14 O 0.661 0.964 0.876
15 O 0.697 0.036 0.376
16 O 0.697 0.661 0.124
17 O 0.964 0.303 0.124
18 O 0.964 0.661 0.376